Mn3AlH: relaxed, PBE-GGA.

Results
As for the space-group type: Fd-3m (227). The total energy comes out at -6.694 eV/atom. The calculation puts the density of states at the Fermi level at 5.6 states/eV/f.u.

Cell: 6.892 6.892 6.892 Å, 60.00 60.00 60.00°
Positions (direct):
1 Mn 0.057 0.057 0.693
2 Mn 0.057 0.693 0.057
3 Mn 0.057 0.693 0.693
4 Mn 0.307 0.307 0.943
5 Mn 0.307 0.943 0.307
6 Mn 0.307 0.943 0.943
7 Mn 0.693 0.057 0.057
8 Mn 0.693 0.057 0.693
9 Mn 0.693 0.693 0.057
10 Mn 0.943 0.307 0.307
11 Mn 0.943 0.307 0.943
12 Mn 0.943 0.943 0.307
13 Al 0.000 0.500 0.500
14 Al 0.500 0.000 0.500
15 Al 0.500 0.500 0.000
16 Al 0.500 0.500 0.500
17 H 0.000 0.000 0.000
18 H 0.000 0.000 0.500
19 H 0.000 0.500 0.000
20 H 0.500 0.000 0.000